Record 1
# LiGaCo2N (PBE, relaxed)
data_LiGaCo2N
_chemical_formula_sum 'Li1 Ga1 Co2 N1'
_cell_length_a 3.722
_cell_length_b 3.722
_cell_length_c 3.841
_cell_angle_alpha 90.00
_cell_angle_beta 90.00
_cell_angle_gamma 90.00
_symmetry_space_group_name_H-M 'P 4/m m m'
_symmetry_Int_Tables_number 123
_symmetry_space_group_name_Hall '-P 4 2'
loop_
_atom_site_label
_atom_site_fract_x
_atom_site_fract_y
_atom_site_fract_z
Li1 0.000 0.000 0.000
Ga1 0.500 0.500 0.000
Co1 0.000 0.500 0.500
N1 0.000 0.000 0.500
# Raw formation energy: -0.2317 eV per atom
# Fermi-level density of states: 2.71 states/eV per cell
# V: 53.21 Å³ per cell
# Final energy: -5.73 eV per atom

Record 2
# LiGa4Co2Ni (PBE, relaxed)
data_LiGa4Co2Ni
_chemical_formula_sum 'Li3 Ga12 Co6 Ni3'
_cell_length_a 4.1219
_cell_length_b 4.1219
_cell_length_c 20.2326
_cell_angle_alpha 90.00
_cell_angle_beta 90.00
_cell_angle_gamma 120.00
_symmetry_space_group_name_H-M 'R -3 m'
_symmetry_Int_Tables_number 166
_symmetry_space_group_name_Hall '-R 3 2"'
loop_
_atom_site_label
_atom_site_fract_x
_atom_site_fract_y
_atom_site_fract_z
Li1 0.0000 0.0000 0.0000
Ga1 0.0000 0.0000 0.1253
Ga2 0.0000 0.0000 0.3746
Co1 0.0000 0.0000 0.2485
Ni1 0.0000 0.0000 0.5000
# Fermi-level density of states: 11.45 states/eV per cell
# V: 297.69 Å³ per cell
# Formation enthalpy at 0 K: -0.30 eV/atom
# Final energy: -4.55 eV per atom

Record 3
# LiGa4CoNi2 (PBE, relaxed)
data_LiGa4CoNi2
_chemical_formula_sum 'Li3 Ga12 Co3 Ni6'
_cell_length_a 4.1474
_cell_length_b 4.1474
_cell_length_c 20.2771
_cell_angle_alpha 90.00
_cell_angle_beta 90.00
_cell_angle_gamma 120.00
_symmetry_space_group_name_H-M 'R -3 m'
_symmetry_Int_Tables_number 166
_symmetry_space_group_name_Hall '-R 3 2"'
loop_
_atom_site_label
_atom_site_fract_x
_atom_site_fract_y
_atom_site_fract_z
Li1 0.0000 0.0000 0.0000
Ga1 0.0000 0.0000 0.1281
Ga2 0.0000 0.0000 0.3764
Co1 0.0000 0.0000 0.5000
Ni1 0.0000 0.0000 0.2517
# Fermi-level density of states: 8.47 states/eV per cell
# V: 302.06 Å³ per cell
# Formation enthalpy at 0 K: -0.34 eV/atom
# Final energy: -4.42 eV per atom

Copy entry 2 word for word.
# LiGa4Co2Ni (PBE, relaxed)
data_LiGa4Co2Ni
_chemical_formula_sum 'Li3 Ga12 Co6 Ni3'
_cell_length_a 4.1219
_cell_length_b 4.1219
_cell_length_c 20.2326
_cell_angle_alpha 90.00
_cell_angle_beta 90.00
_cell_angle_gamma 120.00
_symmetry_space_group_name_H-M 'R -3 m'
_symmetry_Int_Tables_number 166
_symmetry_space_group_name_Hall '-R 3 2"'
loop_
_atom_site_label
_atom_site_fract_x
_atom_site_fract_y
_atom_site_fract_z
Li1 0.0000 0.0000 0.0000
Ga1 0.0000 0.0000 0.1253
Ga2 0.0000 0.0000 0.3746
Co1 0.0000 0.0000 0.2485
Ni1 0.0000 0.0000 0.5000
# Fermi-level density of states: 11.45 states/eV per cell
# V: 297.69 Å³ per cell
# Formation enthalpy at 0 K: -0.30 eV/atom
# Final energy: -4.55 eV per atom

Copy entry 3 word for word.
# LiGa4CoNi2 (PBE, relaxed)
data_LiGa4CoNi2
_chemical_formula_sum 'Li3 Ga12 Co3 Ni6'
_cell_length_a 4.1474
_cell_length_b 4.1474
_cell_length_c 20.2771
_cell_angle_alpha 90.00
_cell_angle_beta 90.00
_cell_angle_gamma 120.00
_symmetry_space_group_name_H-M 'R -3 m'
_symmetry_Int_Tables_number 166
_symmetry_space_group_name_Hall '-R 3 2"'
loop_
_atom_site_label
_atom_site_fract_x
_atom_site_fract_y
_atom_site_fract_z
Li1 0.0000 0.0000 0.0000
Ga1 0.0000 0.0000 0.1281
Ga2 0.0000 0.0000 0.3764
Co1 0.0000 0.0000 0.5000
Ni1 0.0000 0.0000 0.2517
# Fermi-level density of states: 8.47 states/eV per cell
# V: 302.06 Å³ per cell
# Formation enthalpy at 0 K: -0.34 eV/atom
# Final energy: -4.42 eV per atom

Repeat the second record exactly.
# LiGa4Co2Ni (PBE, relaxed)
data_LiGa4Co2Ni
_chemical_formula_sum 'Li3 Ga12 Co6 Ni3'
_cell_length_a 4.1219
_cell_length_b 4.1219
_cell_length_c 20.2326
_cell_angle_alpha 90.00
_cell_angle_beta 90.00
_cell_angle_gamma 120.00
_symmetry_space_group_name_H-M 'R -3 m'
_symmetry_Int_Tables_number 166
_symmetry_space_group_name_Hall '-R 3 2"'
loop_
_atom_site_label
_atom_site_fract_x
_atom_site_fract_y
_atom_site_fract_z
Li1 0.0000 0.0000 0.0000
Ga1 0.0000 0.0000 0.1253
Ga2 0.0000 0.0000 0.3746
Co1 0.0000 0.0000 0.2485
Ni1 0.0000 0.0000 0.5000
# Fermi-level density of states: 11.45 states/eV per cell
# V: 297.69 Å³ per cell
# Formation enthalpy at 0 K: -0.30 eV/atom
# Final energy: -4.55 eV per atom